Here is a relaxed Fe2HgCl crystal from Alexandria via LeMat-Bulk. Energies are from PBE-GGA.

Cell: 5.720 5.720 5.720 Å, 141.79 141.79 55.14°
Sites, in units of the cell vectors:
Fe1 0.000 0.000 0.000
Fe2 0.750 0.250 0.500
Hg1 0.250 0.750 0.500
Cl1 0.500 0.500 0.000

- calculated volume (Å³/atom) = 17.776
- ΔE_f (raw) (eV per atom) = 0.66
- total magnetization (μB/f.u.) = 6.1
- space-group type = I-4m2
- total energy (eV for the cell shown) = -16.5


Here is a relaxed YPt2 crystal from Alexandria via LeMat-Bulk. Energies are from PBE-GGA.

Cell: 4.593 4.593 4.593 Å, 60.00 60.00 60.00°
Sites, in units of the cell vectors:
Y1 0.000 0.000 0.000
Pt1 0.250 0.250 0.250
Pt2 0.750 0.750 0.750

- calculated volume (Å³/atom) = 22.834
- total magnetization (μB/f.u.) = 0.0
- calculated formation energy (eV per atom) = -0.541
- space-group type = Fm-3m
- total energy (eV for the cell shown) = -20.2


Question: What is the total magnetization in the second record?
Answer: 0.0 μB/f.u.